1.
DFT (PBE-GGA) results for crystalline HoSn2O4 at its relaxed geometry.

Calculated values
- Final energy: -357.51 eV for the cell shown

a b c (Å): 9.7119 9.7119 9.7119
angles (deg): 90.00 90.00 90.00
Last column: nearest neighbours and their distance in Å.
Space group Fd-3m (No. 227, origin choice 2)
One atom of each set of equivalent atoms:
Ho (0.1250, 0.1250, 0.1250) x8  4 O 2.16
Sn (0.0000, 0.0000, 0.5000) x16  6 O 2.40
O (0.0032, 0.0032, 0.7468) x32  1 Ho 2.16, 3 Sn 2.40



2.
DFT (PBE-GGA) results for crystalline Ho2Sn2O5 at its relaxed geometry.

Calculated values
- Excess energy over the best structure of this formula in the dataset: 0.4842 eV/atom

a b c (Å): 4.2257 4.2257 6.9088
angles (deg): 90.00 90.00 90.00
Last column: nearest neighbours and their distance in Å.
Space group P4/mmm (No. 123)
One atom of each set of equivalent atoms:
Ho (0.0000, 0.0000, 0.0000) x1  8 O 2.71
Ho (0.0000, 0.0000, 0.5000) x1  12 O 2.75-2.99
Sn (0.5000, 0.5000, 0.2071) x2  5 O 2.02-2.13
O (0.0000, 0.5000, 0.2458) x4  2 Sn 2.13
O (0.5000, 0.5000, 0.5000) x1  2 Sn 2.02



3.
DFT (PBE-GGA) results for crystalline HoTaSn2O6 at its relaxed geometry.

Calculated values
- Final energy: -153.77 eV for the cell shown

a b c (Å): 5.7726 5.7726 8.3868
angles (deg): 90.00 90.00 90.00
Last column: nearest neighbours and their distance in Å.
Space group I4/m (No. 87)
One atom of each set of equivalent atoms:
Ho (0.0000, 0.0000, 0.0000) x2  6 O 2.20-2.23
Ta (0.0000, 0.0000, 0.5000) x2  6 O 1.99-2.00
Sn (0.0000, 0.5000, 0.2500) x4  4 O 2.57
O (0.0000, 0.0000, 0.2628) x4  1 Ta 1.99, 1 Ho 2.20
O (0.1661, 0.3041, 0.5000) x8  1 Ta 2.00, 1 Ho 2.23